1.
Computed, not measured: crystalline CrFeP2 at its relaxed geometry at the PBE-GGA level of DFT.

Results
The energy relative to the elements is -0.41 eV/atom. As for the theoretical density: 5.9 g/cm³. Its crystal system is orthorhombic.

abc: 5.6082 5.6082 5.6082
angles: 147.70 149.65 44.91
Closest atoms and distances in Å follow each position.
Atoms (fractional coordinates):
1 Cr 0.4586 0.4586 0.0000  6 P 2.29-2.33
2 P 0.7884 0.2884 0.5000  2 Cr 2.29, 4 Fe 2.31
3 Fe 0.2062 0.7062 0.5000  6 P 2.27-2.31
4 P 0.0467 0.0467 0.0000  2 Fe 2.27, 4 Cr 2.33

2.
Computed, not measured: crystalline RbCdHg17 at its relaxed geometry at the PBE-GGA level of DFT.

Results
The energy relative to the elements is -0.04 eV/atom. As for the theoretical density: 10.2 g/cm³. Its crystal system is trigonal.

abc: 8.7659 8.7659 8.7659
angles: 71.44 71.44 71.44
Closest atoms and distances in Å follow each position.
Atoms (fractional coordinates):
1 Cd 0.3600 0.3600 0.3600  9 Hg 3.26-3.55
2 Hg 0.6882 0.0044 0.3008  4 Hg 3.03-3.24
3 Hg 0.0049 0.0049 0.4716  6 Hg 3.14-3.41
4 Hg 0.6882 0.3008 0.0044  4 Hg 3.03-3.24
5 Hg 0.3008 0.0044 0.6882  4 Hg 3.03-3.24
6 Hg 0.8940 0.8940 0.8940  10 Hg 3.41-3.73
7 Hg 0.4716 0.0049 0.0049  6 Hg 3.14-3.41
8 Hg 0.0044 0.6882 0.3008  4 Hg 3.03-3.24
9 Hg 0.3884 0.8499 0.3884  6 Hg 3.08-3.14
10 Rb 0.6956 0.6956 0.6956  16 Hg 3.66-4.06
11 Hg 0.0044 0.3008 0.6882  4 Hg 3.03-3.24
12 Hg 0.6081 0.1697 0.6081  6 Hg 3.08-3.30, 1 Cd 3.26
13 Hg 0.1697 0.6081 0.6081  6 Hg 3.08-3.30, 1 Cd 3.26
14 Hg 0.0049 0.4716 0.0049  6 Hg 3.14-3.41
15 Hg 0.0695 0.0695 0.0695  10 Hg 3.28-3.43
16 Hg 0.8499 0.3884 0.3884  6 Hg 3.08-3.14
17 Hg 0.3884 0.3884 0.8499  6 Hg 3.08-3.14
18 Hg 0.3008 0.6882 0.0044  4 Hg 3.03-3.24
19 Hg 0.6081 0.6081 0.1697  6 Hg 3.08-3.30, 1 Cd 3.26

3.
Computed, not measured: crystalline LuInGaHg at its relaxed geometry at the PBE-GGA level of DFT.

Results
The energy relative to the elements is -0.20 eV/atom. As for the theoretical density: 10.1 g/cm³. Its crystal system is cubic.

abc: 5.0669 5.0669 5.0669
angles: 60.00 60.00 60.00
Closest atoms and distances in Å follow each position.
Atoms (fractional coordinates):
1 Lu 0.7500 0.7500 0.7500  4 Hg 3.10, 4 Ga 3.10
2 Ga 0.0000 0.0000 0.0000  4 In 3.10, 4 Lu 3.10
3 In 0.2500 0.2500 0.2500  4 Hg 3.10, 4 Ga 3.10
4 Hg 0.5000 0.5000 0.5000  4 Lu 3.10, 4 In 3.10

4.
Computed, not measured: crystalline Pm3Ga3CoHg2 at its relaxed geometry at the PBE-GGA level of DFT.

Results
The energy relative to the elements is -0.47 eV/atom. As for the theoretical density: 9.0 g/cm³. Its crystal system is hexagonal.

abc: 4.2317 7.4451 7.4451
angles: 120.00 90.00 90.00
Closest atoms and distances in Å follow each position.
Atoms (fractional coordinates):
1 Co 0.0000 0.0000 0.0000  6 Ga 2.65, 3 Pm 2.79
2 Pm 0.0000 0.0000 0.3751  1 Co 2.79
3 Pm 0.0000 0.3751 0.0000  1 Co 2.79
4 Ga 0.5000 0.7856 0.0000  2 Co 2.65, 2 Ga 2.76
5 Pm 0.0000 0.6249 0.6249  1 Co 2.79
6 Hg 0.5000 0.3333 0.6667  3 Ga 3.02, 6 Pm 3.16
7 Ga 0.5000 0.0000 0.7856  2 Co 2.65, 2 Ga 2.76
8 Ga 0.5000 0.2144 0.2144  2 Co 2.65, 2 Ga 2.76
9 Hg 0.5000 0.6667 0.3333  3 Ga 3.02, 6 Pm 3.16

5.
Computed, not measured: crystalline SmTlPt at its relaxed geometry at the PBE-GGA level of DFT.

Results
The energy relative to the elements is -0.60 eV/atom. As for the theoretical density: 12.0 g/cm³. Its crystal system is monoclinic.

abc: 4.7008 4.7008 6.9319
angles: 86.83 86.83 89.68
Closest atoms and distances in Å follow each position.
Atoms (fractional coordinates):
1 Tl 0.2698 0.2698 0.7329  4 Pt 2.93-3.05, 2 Sm 3.27-3.28
2 Tl 0.7302 0.7302 0.2671  4 Pt 2.93-3.05, 2 Sm 3.27-3.28
3 Sm 0.7796 0.7796 0.7341  4 Pt 2.95-3.02, 2 Tl 3.27-3.28
4 Sm 0.2204 0.2204 0.2659  4 Pt 2.95-3.02, 2 Tl 3.27-3.28
5 Pt 0.2671 0.7329 0.0000  4 Tl 2.93-3.05, 4 Sm 2.95-3.02, 1 Pt 3.09
6 Pt 0.7329 0.2671 0.0000  4 Tl 2.93-3.05, 4 Sm 2.95-3.02, 1 Pt 3.09

6.
Computed, not measured: crystalline PrHoZrSc at its relaxed geometry at the PBE-GGA level of DFT.

Results
The energy relative to the elements is 0.20 eV/atom. As for the theoretical density: 6.6 g/cm³. Its crystal system is cubic.

abc: 5.4050 5.4050 5.4050
angles: 60.00 60.00 60.00
Closest atoms and distances in Å follow each position.
Atoms (fractional coordinates):
1 Ho 0.5000 0.5000 0.5000  4 Pr 3.31, 4 Zr 3.31
2 Sc 0.0000 0.0000 0.0000  4 Zr 3.31, 4 Pr 3.31
3 Zr 0.7500 0.7500 0.7500  4 Sc 3.31, 4 Ho 3.31
4 Pr 0.2500 0.2500 0.2500  4 Ho 3.31, 4 Sc 3.31

7.
Computed, not measured: crystalline Li4Y at its relaxed geometry at the PBE-GGA level of DFT.

Results
The energy relative to the elements is 0.81 eV/atom. As for the theoretical density: 1.1 g/cm³. Its crystal system is cubic.

abc: 6.1502 6.1502 6.1502
angles: 109.47 109.47 109.47
Closest atoms and distances in Å follow each position.
Atoms (fractional coordinates):
1 Li 0.0000 0.5000 0.0000  2 Y 3.08
2 Li 0.5000 0.0000 0.0000  2 Y 3.08
3 Li 0.5000 0.5000 0.5000  2 Y 3.08
4 Y 0.0000 0.0000 0.0000  8 Li 3.08
5 Li 0.0000 0.0000 0.5000  2 Y 3.08

8.
Computed, not measured: crystalline H2PbO at its relaxed geometry at the PBE-GGA level of DFT.

Results
As for the theoretical density: 8.8 g/cm³. The electronic total energy is -13.036 eV/cell. Its crystal system is cubic.

abc: 3.9221 3.9221 3.9221
angles: 60.00 60.00 60.00
Closest atoms and distances in Å follow each position.
Atoms (fractional coordinates):
1 H 0.2500 0.2500 0.2500  4 O 2.40, 4 Pb 2.40
2 O 0.0000 0.0000 0.0000  8 H 2.40
3 H 0.7500 0.7500 0.7500  4 O 2.40, 4 Pb 2.40
4 Pb 0.5000 0.5000 0.5000  8 H 2.40

no.,total moment (μB per atom)
1,0.0001
2,0.0000
3,0.0001
4,0.0000
5,0.0000
6,0.0045
7,0.2452
8,0.4312